(1)
{"formula": "Pa4AsSe5", "functional": "PBE-GGA", "state": "optimized geometry", "mass_density_g_cm3": 8.17, "magmom_total_mub_per_fu": 2.04, "dft_energy_ev_per_atom": -7.27, "lattice_angstrom": [[4.0283, 0.0000, 0.0000], [0.0000, 8.1902, -0.4134], [-2.0141, -1.5927, 8.6713]], "species": ["Se", "Se", "Se", "Se", "Se", "Pa", "Pa", "Pa", "Pa", "As"], "fractional_positions": [[0.1680, 0.8287, 0.3360], [0.8353, 0.6701, 0.6705], [0.5000, 0.5000, 0.0000], [0.8320, 0.1713, 0.6640], [0.1647, 0.3299, 0.3295], [0.3344, 0.9137, 0.6688], [0.0010, 0.7538, 0.0021], [0.9990, 0.2462, 0.9979], [0.6656, 0.0863, 0.3312], [0.5000, 0.0000, 0.0000]]}

(2)
{"formula": "Pa3AsSe3", "functional": "PBE-GGA", "state": "optimized geometry", "mass_density_g_cm3": 9.16, "magmom_total_mub_per_fu": 2.92, "dft_energy_ev_per_atom": -7.11, "polymorph_energy_ev_per_fu": 2.54, "lattice_angstrom": [[7.2221, 0.4011, 0.5641], [-2.8583, 6.6445, 0.5641], [-0.1234, -0.1992, 7.3799]], "species": ["Pa", "Pa", "Pa", "Pa", "Pa", "Pa", "As", "As", "Se", "Se", "Se", "Se", "Se", "Se"], "fractional_positions": [[0.1914, 0.5054, 0.3294], [0.0544, 0.0544, 0.7831], [0.9456, 0.9456, 0.2169], [0.8086, 0.4946, 0.6706], [0.5054, 0.1914, 0.3294], [0.4946, 0.8086, 0.6706], [0.7268, 0.7268, 0.9261], [0.2732, 0.2732, 0.0739], [0.6255, 0.6255, 0.3531], [0.7806, 0.2194, 0.0000], [0.8420, 0.1580, 0.5000], [0.2194, 0.7806, 0.0000], [0.3745, 0.3745, 0.6469], [0.1580, 0.8420, 0.5000]]}

(3)
{"formula": "Pa2AsSe2", "functional": "PBE-GGA", "state": "optimized geometry", "mass_density_g_cm3": 8.20, "magmom_total_mub_per_fu": 1.19, "dft_energy_ev_per_atom": -7.23, "polymorph_energy_ev_per_fu": 0.67, "lattice_angstrom": [[3.9984, 0.0000, 0.0000], [0.0000, 5.6713, 0.0000], [-1.9992, -2.8356, 6.2047]], "species": ["As", "Se", "Se", "Pa", "Pa"], "fractional_positions": [[0.0000, 0.0000, 0.0000], [0.6654, 0.6654, 0.3308], [0.3346, 0.3346, 0.6692], [0.3379, 0.8379, 0.6759], [0.6621, 0.1621, 0.3241]]}

(4)
{"formula": "Pa6AsSe8", "functional": "PBE-GGA", "state": "optimized geometry", "mass_density_g_cm3": 7.87, "magmom_total_mub_per_fu": 0.00, "dft_energy_ev_per_atom": -7.27, "lattice_angstrom": [[-3.6280, -5.6896, 2.0116], [-0.0951, -5.7387, -4.0791], [7.0824, -7.3997, 4.1676]], "species": ["As", "Pa", "Pa", "Pa", "Pa", "Pa", "Pa", "Se", "Se", "Se", "Se", "Se", "Se", "Se", "Se"], "fractional_positions": [[0.0000, 0.0000, 0.0000], [0.3870, 0.7198, 0.8399], [0.7198, 0.0534, 0.8399], [0.2802, 0.9466, 0.1601], [0.0534, 0.3870, 0.8399], [0.6130, 0.2802, 0.1601], [0.9466, 0.6130, 0.1601], [0.4380, 0.1060, 0.6822], [0.6667, 0.6667, 0.0000], [0.3333, 0.3333, 0.0000], [0.1060, 0.7739, 0.6822], [0.2261, 0.5620, 0.3178], [0.7739, 0.4380, 0.6822], [0.8940, 0.2261, 0.3178], [0.5620, 0.8940, 0.3178]]}

(5)
{"formula": "Pa6As5Se", "functional": "PBE-GGA", "state": "optimized geometry", "mass_density_g_cm3": 10.51, "magmom_total_mub_per_fu": 0.00, "dft_energy_ev_per_atom": -8.07, "lattice_angstrom": [[-6.4356, 0.2319, 2.9557], [0.6359, -0.2758, 7.0588], [0.6352, 5.9812, 3.7399]], "species": ["As", "As", "As", "As", "As", "Se", "Pa", "Pa", "Pa", "Pa", "Pa", "Pa"], "fractional_positions": [[0.0000, 0.6666, 0.6668], [0.0000, 0.3334, 0.3332], [0.5000, 0.5000, 0.0000], [0.5000, 0.8332, 0.3336], [0.5000, 0.1668, 0.6664], [0.0000, 0.0000, 0.0000], [0.7495, 0.4176, 0.6659], [0.7493, 0.7495, 0.0000], [0.2505, 0.5824, 0.3341], [0.7495, 0.0836, 0.3341], [0.2505, 0.9164, 0.6659], [0.2507, 0.2505, 0.0000]]}

(6)
{"formula": "Pa4As2Se5", "functional": "PBE-GGA", "state": "optimized geometry", "mass_density_g_cm3": 7.93, "magmom_total_mub_per_fu": 2.45, "dft_energy_ev_per_atom": -6.11, "lattice_angstrom": [[3.5929, 0.0000, 0.0000], [0.0000, 8.2581, 0.3256], [-1.7964, 1.6549, 10.4265]], "species": ["Se", "Se", "Se", "Se", "Se", "Pa", "Pa", "Pa", "Pa", "As", "As"], "fractional_positions": [[0.5000, 0.0000, 0.0000], [0.7939, 0.1831, 0.5877], [0.2061, 0.8169, 0.4123], [0.8447, 0.5322, 0.6893], [0.1553, 0.4678, 0.3107], [0.9570, 0.6417, 0.9140], [0.0430, 0.3583, 0.0860], [0.0788, 0.7750, 0.1576], [0.9212, 0.2250, 0.8424], [0.1391, 0.0716, 0.2781], [0.8609, 0.9284, 0.7219]]}

(7)
{"formula": "PaAsSe", "functional": "PBE-GGA", "state": "optimized geometry", "mass_density_g_cm3": 9.85, "magmom_total_mub_per_fu": 0.00, "dft_energy_ev_per_atom": -6.86, "polymorph_energy_ev_per_fu": 0.51, "lattice_angstrom": [[3.7651, 0.0000, 0.0000], [0.0000, 3.7651, 0.0000], [-1.8826, -1.8826, 4.5760]], "species": ["Pa", "Se", "As"], "fractional_positions": [[0.6683, 0.6683, 0.3365], [0.0119, 0.0119, 0.0237], [0.3199, 0.3199, 0.6397]]}

(8)
{"formula": "Pa4AsSe4", "functional": "PBE-GGA", "state": "optimized geometry", "mass_density_g_cm3": 8.25, "magmom_total_mub_per_fu": 8.82, "dft_energy_ev_per_atom": -6.95, "polymorph_energy_ev_per_fu": 5.36, "lattice_angstrom": [[6.9769, 0.0000, 0.0000], [0.0000, 6.9769, 0.0000], [-3.4884, -3.4884, 5.4378]], "species": ["Se", "Se", "Se", "Se", "Pa", "Pa", "Pa", "Pa", "As"], "fractional_positions": [[0.5000, 0.0000, 0.0000], [0.0000, 0.5000, 0.0000], [0.6625, 0.6625, 0.3250], [0.3375, 0.3375, 0.6750], [0.6266, 0.6266, 0.6873], [0.9393, 0.3734, 0.3127], [0.3734, 0.9393, 0.3127], [0.0607, 0.0607, 0.6873], [0.0000, 0.0000, 0.0000]]}

Please write out number 6 again, unchanged.
{"formula": "Pa4As2Se5", "functional": "PBE-GGA", "state": "optimized geometry", "mass_density_g_cm3": 7.93, "magmom_total_mub_per_fu": 2.45, "dft_energy_ev_per_atom": -6.11, "lattice_angstrom": [[3.5929, 0.0000, 0.0000], [0.0000, 8.2581, 0.3256], [-1.7964, 1.6549, 10.4265]], "species": ["Se", "Se", "Se", "Se", "Se", "Pa", "Pa", "Pa", "Pa", "As", "As"], "fractional_positions": [[0.5000, 0.0000, 0.0000], [0.7939, 0.1831, 0.5877], [0.2061, 0.8169, 0.4123], [0.8447, 0.5322, 0.6893], [0.1553, 0.4678, 0.3107], [0.9570, 0.6417, 0.9140], [0.0430, 0.3583, 0.0860], [0.0788, 0.7750, 0.1576], [0.9212, 0.2250, 0.8424], [0.1391, 0.0716, 0.2781], [0.8609, 0.9284, 0.7219]]}